This record from Alexandria describes an optimized crystal structure of SrZnI2N. The functional is PBE.

Results
Its raw total energy is -13.28 eV/cell. The energy above the lowest structure with this stoichiometry comes out at 39.84 kJ/mol of atoms. As for the raw formation energy: 0.22 eV/atom. The value obtained for the density of states at the Fermi level is 3.89 states/eV/f.u.

a = 6.4811 Å, b = 6.4811 Å, c = 5.0760 Å
α = 90.00°, β = 90.00°, γ = 90.00°
Space group P4/mmm (No. 123)
Asymmetric unit:
Sr: 0.0000 0.0000 0.0000 x1
Zn: 0.5000 0.5000 0.5000 x1
I: 0.0000 0.5000 0.0000 x2
N: 0.0000 0.0000 0.5000 x1